NdPaZn (PBE-GGA, relaxed); density of states at the Fermi level = 1.570 states/eV/atom; SG = I4mm; ΔE_f = 0.082 eV/atom; polymorph energy (0 for the lowest one) = 0 meV per atom; calculated total energy = -5.10 eV per atom
1.0
3.240 0.000 0.000
0.000 3.240 0.000
0.000 0.000 14.197
Nd Pa Zn
2 2 2
direct
0.000 0.000 0.000 Nd
0.500 0.500 0.500 Nd
0.000 0.000 0.306 Pa
0.500 0.500 0.806 Pa
0.000 0.000 0.658 Zn
0.500 0.500 0.158 Zn